# 1
DFT (PBE) results for a geometry-optimized LiDyScSe3 structure.

abc: 8.0322 3.8819 8.6397
angles: 90.00 104.15 90.00
Closest atoms and distances in Å follow each position.
Atoms (fractional coordinates):
Li 0.0912 0.2500 0.0890  4 Se 2.46-2.55, 2 Li 2.68
Li 0.9088 0.7500 0.9110  4 Se 2.46-2.55, 2 Li 2.68
Dy 0.1931 0.2500 0.7313  7 Se 2.87-3.00
Dy 0.8069 0.7500 0.2687  7 Se 2.87-3.00
Sc 0.3373 0.7500 0.3427  6 Se 2.70-2.86
Sc 0.6627 0.2500 0.6573  6 Se 2.70-2.86
Se 0.0965 0.2500 0.3750  1 Li 2.46
Se 0.2355 0.7500 0.0014  3 Li 2.47-2.55
Se 0.4329 0.7500 0.6698  3 Sc 2.70-2.74, 2 Dy 2.87
Se 0.5671 0.2500 0.3302  3 Sc 2.70-2.74, 2 Dy 2.87
Se 0.7645 0.2500 0.9986  3 Li 2.47-2.55
Se 0.9035 0.7500 0.6250  1 Li 2.46

Computed properties:
ΔE_f (raw)	-1576	meV/atom
SG	P2_1/m, No. 11

=====

# 2
DFT (PBE) results for a geometry-optimized LiDySc4Se8 structure.

abc: 8.0801 8.0801 8.0801
angles: 59.04 59.04 59.04
Closest atoms and distances in Å follow each position.
Atoms (fractional coordinates):
Li 0.0000 0.0000 0.0000  4 Se 2.57-2.61
Dy 0.3696 0.3696 0.3696  6 Se 2.81-2.89
Sc 0.3672 0.3672 0.8922  6 Se 2.66-2.81
Sc 0.3672 0.8922 0.3672  6 Se 2.66-2.81
Sc 0.7458 0.7458 0.7458  4 Se 2.58-2.62
Sc 0.8922 0.3672 0.3672  6 Se 2.66-2.81
Se 0.1220 0.1220 0.6071  1 Li 2.57, 2 Sc 2.66, 1 Dy 2.81
Se 0.1220 0.6071 0.1220  1 Li 2.57, 2 Sc 2.66, 1 Dy 2.81
Se 0.1308 0.1308 0.1308  1 Li 2.61, 3 Sc 2.68
Se 0.1415 0.6236 0.6236  3 Sc 2.58-2.81, 1 Dy 2.89
Se 0.6071 0.1220 0.1220  1 Li 2.57, 2 Sc 2.66, 1 Dy 2.81
Se 0.6143 0.6143 0.6143  4 Sc 2.62-2.81
Se 0.6236 0.1415 0.6236  3 Sc 2.58-2.81, 1 Dy 2.89
Se 0.6236 0.6236 0.1415  3 Sc 2.58-2.81, 1 Dy 2.89

Computed properties:
ΔE_f (raw)	-1653	meV/atom
SG	R3m, No. 160

=====

# 3
DFT (PBE) results for a geometry-optimized Li2DySc2Si2 structure.

abc: 8.5108 8.5108 8.5108
angles: 29.72 29.72 29.72
Closest atoms and distances in Å follow each position.
Atoms (fractional coordinates):
Li 0.0863 0.0863 0.0863  3 Si 2.52, 3 Sc 2.81
Li 0.9137 0.9137 0.9137  3 Si 2.52, 3 Sc 2.81
Dy 0.5000 0.5000 0.5000  6 Si 3.14, 6 Li 3.19, 2 Sc 3.20
Sc 0.3687 0.3687 0.3687  3 Li 2.81, 4 Si 2.85-3.05, 3 Sc 3.05
Sc 0.6313 0.6313 0.6313  3 Li 2.81, 4 Si 2.85-3.05, 3 Sc 3.05
Si 0.2438 0.2438 0.2438  3 Li 2.52
Si 0.7562 0.7562 0.7562  3 Li 2.52

Computed properties:
ΔE_f (raw)	-427	meV/atom
SG	R-3m, No. 166

=====

# 4
DFT (PBE) results for a geometry-optimized Li2DySc2Sn2 structure.

abc: 8.7656 8.7656 8.7656
angles: 31.01 31.01 31.01
Closest atoms and distances in Å follow each position.
Atoms (fractional coordinates):
Li 0.0796 0.0796 0.0796  3 Sn 2.72, 3 Sc 2.94
Li 0.9204 0.9204 0.9204  3 Sn 2.72, 3 Sc 2.94
Dy 0.5000 0.5000 0.5000  6 Sn 3.29, 2 Sc 3.33, 6 Li 3.47
Sc 0.3669 0.3669 0.3669  3 Li 2.94, 4 Sn 3.08-3.15, 3 Sc 3.19
Sc 0.6331 0.6331 0.6331  3 Li 2.94, 4 Sn 3.08-3.15, 3 Sc 3.19
Sn 0.2411 0.2411 0.2411  3 Li 2.72
Sn 0.7589 0.7589 0.7589  3 Li 2.72

Computed properties:
energy of formation from the pure elements	-0.450	eV/atom
SG	R-3m, No. 166

=====

# 5
DFT (PBE) results for a geometry-optimized LiDy3Sc2Te6 structure.

abc: 9.5427 9.5427 8.5323
angles: 102.92 102.92 25.85
Closest atoms and distances in Å follow each position.
Atoms (fractional coordinates):
Li 0.0000 0.0000 0.0000  6 Te 2.95-2.96
Dy 0.0000 0.0000 0.5000  6 Te 3.06-3.09
Dy 0.3343 0.3343 0.1708  6 Te 3.04-3.10
Dy 0.6657 0.6657 0.8292  6 Te 3.04-3.10
Sc 0.3314 0.3314 0.6573  6 Te 2.92-3.01
Sc 0.6686 0.6686 0.3427  6 Te 2.92-3.01
Te 0.1633 0.1633 0.0914  1 Li 2.96, 2 Sc 3.01, 3 Dy 3.10
Te 0.1689 0.1689 0.5770  3 Sc 2.92-2.94, 3 Dy 3.04-3.06
Te 0.4957 0.4957 0.7597  2 Li 2.95, 1 Sc 2.98, 3 Dy 3.08-3.09
Te 0.5043 0.5043 0.2403  2 Li 2.95, 1 Sc 2.98, 3 Dy 3.08-3.09
Te 0.8311 0.8311 0.4230  3 Sc 2.92-2.94, 3 Dy 3.04-3.06
Te 0.8367 0.8367 0.9086  1 Li 2.96, 2 Sc 3.01, 3 Dy 3.10

Computed properties:
ΔE_f (raw)	-1238	meV/atom
SG	C2/m, No. 12

=====

# 6
DFT (PBE) results for a geometry-optimized LiDy2ScTe5 structure.

abc: 9.3675 9.3675 12.9386
angles: 90.00 90.00 153.74
Closest atoms and distances in Å follow each position.
Atoms (fractional coordinates):
Li 0.0648 0.9352 0.5000  4 Te 2.59-2.75
Li 0.9352 0.0648 0.0000  4 Te 2.59-2.75
Dy 0.3714 0.6286 0.3398  8 Te 3.14-3.35
Dy 0.3936 0.6064 0.7247  8 Te 3.17-3.39
Dy 0.6064 0.3936 0.2247  8 Te 3.17-3.39
Dy 0.6286 0.3714 0.8398  8 Te 3.14-3.35
Sc 0.3058 0.6942 0.0516  6 Te 2.78-3.00
Sc 0.6942 0.3058 0.5516  6 Te 2.78-3.00
Te 0.0024 0.9976 0.8235  1 Li 2.59
Te 0.1436 0.8564 0.0389  1 Sc 2.96, 2 Dy 3.28
Te 0.1930 0.8070 0.3882  1 Li 2.75, 2 Sc 3.00
Te 0.2186 0.7814 0.7045  2 Sc 2.94, 3 Dy 3.20-3.21
Te 0.4521 0.5479 0.1116  2 Li 2.59, 1 Sc 2.78
Te 0.5479 0.4521 0.6116  2 Li 2.59, 1 Sc 2.78
Te 0.7814 0.2186 0.2045  2 Sc 2.94, 3 Dy 3.20-3.21
Te 0.8070 0.1930 0.8882  1 Li 2.75, 2 Sc 3.00
Te 0.8564 0.1436 0.5389  1 Sc 2.96, 2 Dy 3.28
Te 0.9976 0.0024 0.3235  1 Li 2.59

Computed properties:
ΔE_f (raw)	-1200	meV/atom
SG	Cmc2_1, No. 36

=====

# 7
DFT (PBE) results for a geometry-optimized Li2DyScTe4 structure.

abc: 7.3692 4.2550 7.4291
angles: 90.00 109.24 90.00
Closest atoms and distances in Å follow each position.
Atoms (fractional coordinates):
Li 0.0000 0.0000 0.0000  6 Te 3.06-3.07
Li 0.5000 0.5000 0.0000  6 Te 2.97-2.98
Dy 0.0000 0.5000 0.5000  6 Te 3.06
Sc 0.5000 0.0000 0.5000  6 Te 2.97
Te 0.2609 0.0000 0.7529  1 Sc 2.97, 3 Li 2.98-3.06, 2 Dy 3.06
Te 0.2614 0.5000 0.2536  3 Li 2.97-3.07, 2 Sc 2.97, 1 Dy 3.06
Te 0.7391 0.0000 0.2471  1 Sc 2.97, 3 Li 2.98-3.06, 2 Dy 3.06
Te 0.7386 0.5000 0.7464  3 Li 2.97-3.07, 2 Sc 2.97, 1 Dy 3.06

Computed properties:
ΔE_f (raw)	-1228	meV/atom
SG	P2/m, No. 10

=====

# 8
DFT (PBE) results for a geometry-optimized Li3DySc2Te6 structure.

abc: 7.3154 7.3154 7.4121
angles: 99.49 99.49 120.01
Closest atoms and distances in Å follow each position.
Atoms (fractional coordinates):
Li 0.0000 0.0000 0.0000  6 Te 2.94-3.04
Li 0.3372 0.6628 0.0000  6 Te 2.97-3.05
Li 0.6628 0.3372 0.0000  6 Te 2.97-3.05
Dy 0.5000 0.5000 0.5000  6 Te 3.06
Sc 0.1673 0.8327 0.5000  6 Te 2.95-2.96
Sc 0.8327 0.1673 0.5000  6 Te 2.95-2.96
Te 0.0720 0.4171 0.2523  2 Sc 2.95-2.96, 3 Li 2.97-3.05, 1 Dy 3.06
Te 0.2375 0.2375 0.7480  3 Li 2.94-3.01, 2 Sc 2.96, 1 Dy 3.06
Te 0.4171 0.0720 0.2523  2 Sc 2.95-2.96, 3 Li 2.97-3.05, 1 Dy 3.06
Te 0.5829 0.9280 0.7477  2 Sc 2.95-2.96, 3 Li 2.97-3.05, 1 Dy 3.06
Te 0.7625 0.7625 0.2520  3 Li 2.94-3.01, 2 Sc 2.96, 1 Dy 3.06
Te 0.9280 0.5829 0.7477  2 Sc 2.95-2.96, 3 Li 2.97-3.05, 1 Dy 3.06

Computed properties:
ΔE_f (raw)	-1212	meV/atom
SG	C2/m, No. 12

=====

# 9
DFT (PBE) results for a geometry-optimized LiDyThSc structure.

abc: 5.3502 5.3502 5.3502
angles: 60.00 60.00 60.00
Closest atoms and distances in Å follow each position.
Atoms (fractional coordinates):
Li 0.0000 0.0000 0.0000  4 Th 3.28, 4 Dy 3.28
Dy 0.2500 0.2500 0.2500  4 Sc 3.28, 4 Li 3.28
Th 0.7500 0.7500 0.7500  4 Sc 3.28, 4 Li 3.28
Sc 0.5000 0.5000 0.5000  4 Th 3.28, 4 Dy 3.28

Computed properties:
energy of formation from the pure elements	0.191	eV/atom
SG	F-43m, No. 216

=====

# 10
DFT (PBE) results for a geometry-optimized LiDyTmSc structure.

abc: 5.2997 5.2997 5.2997
angles: 60.00 60.00 60.00
Closest atoms and distances in Å follow each position.
Atoms (fractional coordinates):
Li 0.0000 0.0000 0.0000  4 Tm 3.25, 4 Dy 3.25
Dy 0.7500 0.7500 0.7500  4 Li 3.25, 4 Sc 3.25
Tm 0.2500 0.2500 0.2500  4 Sc 3.25, 4 Li 3.25
Sc 0.5000 0.5000 0.5000  4 Dy 3.25, 4 Tm 3.25

Computed properties:
energy of formation from the pure elements	0.159	eV/atom
SG	F-43m, No. 216

=====

# 11
DFT (PBE) results for a geometry-optimized LiDySc2Zn4 structure.

abc: 8.4585 8.4585 8.4585
angles: 32.30 32.30 32.30
Closest atoms and distances in Å follow each position.
Atoms (fractional coordinates):
Li 0.0000 0.0000 0.0000  8 Zn 2.73-2.89
Dy 0.5000 0.5000 0.5000  8 Zn 3.00-3.02
Sc 0.2565 0.2565 0.2565  7 Zn 2.83-2.86
Sc 0.7435 0.7435 0.7435  7 Zn 2.83-2.86
Zn 0.1135 0.1135 0.1135  1 Li 2.73, 3 Sc 2.86, 3 Dy 3.00
Zn 0.3741 0.3741 0.3741  4 Sc 2.83-2.85, 3 Li 2.89, 1 Dy 3.02
Zn 0.6259 0.6259 0.6259  4 Sc 2.83-2.85, 3 Li 2.89, 1 Dy 3.02
Zn 0.8865 0.8865 0.8865  1 Li 2.73, 3 Sc 2.86, 3 Dy 3.00

Computed properties:
energy of formation from the pure elements	-0.272	eV/atom
SG	R-3m, No. 166

=====

# 12
DFT (PBE) results for a geometry-optimized LiDySe2 structure.

abc: 4.0863 4.0863 5.5730
angles: 90.00 90.00 90.00
Closest atoms and distances in Å follow each position.
Atoms (fractional coordinates):
Li 0.0000 0.0000 0.0000  6 Se 2.79-2.89
Dy 0.5000 0.5000 0.5000  6 Se 2.79-2.89
Se 0.0000 0.0000 0.5000  2 Li 2.79, 4 Dy 2.89
Se 0.5000 0.5000 0.0000  2 Dy 2.79, 4 Li 2.89

Computed properties:
ΔE_f (raw)	-1614	meV/atom
SG	P4/mmm, No. 123

=====

| no. | uncorrected energy (eV per atom) | density (Mg/m³) | magnetic moment (Bohr magnetons per cell) |
| --- | --- | --- | --- |
| 1 | -5.459 | 5.74 | 0.00 |
| 2 | -5.919 | 4.46 | 0.00 |
| 3 | -4.989 | 3.99 | 0.00 |
| 4 | -4.607 | 5.27 | 0.78 |
| 5 | -5.174 | 6.80 | 0.00 |
| 6 | -4.884 | 6.71 | 0.00 |
| 7 | -4.644 | 5.52 | 0.00 |
| 8 | -4.700 | 5.32 | 0.00 |
| 9 | -4.876 | 6.85 | 0.00 |
| 10 | -4.171 | 6.05 | 0.00 |
| 11 | -3.306 | 5.63 | 0.00 |
| 12 | -4.986 | 5.84 | 0.00 |